Record 1
The following is a DFT calculation (PBE-GGA) of crystalline YCoP2S at its relaxed geometry.

The value obtained for the energy above the most stable polymorph in this dataset is 6.68 eV/f.u. As for the formation energy (no corrections): 0.955 eV per atom. The calculation puts the total magnetic moment at 2.38 μB per cell. As for the uncorrected energy: -23.7 eV/cell.

The space group is P4/mmm (No. 123) and the conventional cell measures 5.2447, 5.2447 and 5.1298 Å, with angles of 90.00, 90.00 and 90.00 degrees. The inequivalent atoms are Y at (0.0000, 0.0000, 0.0000), Co at (0.5000, 0.5000, 0.5000), P at (0.0000, 0.5000, 0.0000) and S at (0.0000, 0.0000, 0.5000).

Record 2
The following is a DFT calculation (PBE-GGA) of crystalline TlB2BrN at its relaxed geometry.

As for the formation energy (no corrections): 2.380 eV per atom. The calculation puts the total magnetic moment at 0.00 μB per cell. As for the uncorrected energy: -13.8 eV/cell.

The space group is P4/mmm (No. 123) and the conventional cell measures 4.3354, 4.3354 and 4.2189 Å, with angles of 90.00, 90.00 and 90.00 degrees. The inequivalent atoms are Tl at (0.0000, 0.0000, 0.0000), B at (0.0000, 0.5000, 0.5000), Br at (0.5000, 0.5000, 0.5000) and N at (0.5000, 0.5000, 0.0000).

Record 3
The following is a DFT calculation (PBE-GGA) of crystalline TlBiSeCl2 at its relaxed geometry.

As for the formation energy (no corrections): -0.763 eV per atom. The calculation puts the total magnetic moment at 0.00 μB per cell. As for the uncorrected energy: -69.0 eV/cell.

The space group is Cmcm (No. 63) and the conventional cell measures 4.2165, 18.3436 and 8.3286 Å, with angles of 90.00, 90.00 and 90.00 degrees. The inequivalent atoms are Tl at (0.0000, 0.2051, 0.2500), Bi at (0.0000, 0.5000, 0.0000), Se at (0.0000, 0.0119, 0.2500) and Cl at (0.0000, 0.3520, 0.0116).

Record 4
The following is a DFT calculation (PBE-GGA) of crystalline LiYPuTl at its relaxed geometry.

The calculation puts the total magnetic moment at 25.33 μB per cell. As for the uncorrected energy: -100.0 eV/cell. As for the energy of formation: 8 kJ/mol of formula units.

The space group is F-43m (No. 216) and the conventional cell measures 7.5269, 7.5269 and 7.5269 Å, with angles of 90.00, 90.00 and 90.00 degrees. The inequivalent atoms are Li at (0.0000, 0.0000, 0.0000), Y at (0.2500, 0.2500, 0.2500), Pu at (0.2500, 0.2500, 0.7500) and Tl at (0.0000, 0.0000, 0.5000).

Record 5
The following is a DFT calculation (PBE-GGA) of crystalline Mg2Zn2Bi at its relaxed geometry.

The value obtained for the energy above the most stable polymorph in this dataset is 0.48 eV/f.u. The calculation puts the total magnetic moment at 0.00 μB per cell. As for the uncorrected energy: -18.7 eV/cell. As for the energy of formation: 24 kJ/mol of formula units.

The space group is I4/mmm (No. 139) and the conventional cell measures 4.2371, 4.2371 and 12.2613 Å, with angles of 90.00, 90.00 and 90.00 degrees. The inequivalent atoms are Mg at (0.0000, 0.5000, 0.2500), Zn at (0.0000, 0.0000, 0.1004) and Bi at (0.0000, 0.0000, 0.5000).

Record 6
The following is a DFT calculation (PBE-GGA) of crystalline NiSn2H2 at its relaxed geometry.

The calculation puts the total magnetic moment at 0.00 μB per cell. As for the uncorrected energy: -37.6 eV/cell.

The space group is I4/mmm (No. 139) and the conventional cell measures 3.2454, 3.2454 and 12.7287 Å, with angles of 90.00, 90.00 and 90.00 degrees. The inequivalent atoms are Ni at (0.0000, 0.0000, 0.0000), Sn at (0.0000, 0.0000, 0.3734) and H at (0.0000, 0.5000, 0.2500).

Record 7
The following is a DFT calculation (PBE-GGA) of crystalline Bi2PRuRh at its relaxed geometry.

The calculation puts the total magnetic moment at 0.76 μB per cell. As for the uncorrected energy: -25.7 eV/cell. As for the energy of formation: 398 kJ/mol of formula units.

The space group is P4/mmm (No. 123) and the conventional cell measures 5.3402, 5.3402 and 4.2752 Å, with angles of 90.00, 90.00 and 90.00 degrees. The inequivalent atoms are Bi at (0.0000, 0.5000, 0.0000), P at (0.0000, 0.0000, 0.0000), Ru at (0.0000, 0.0000, 0.5000) and Rh at (0.5000, 0.5000, 0.5000).

Record 8
The following is a DFT calculation (PBE-GGA) of crystalline LiBe2Ni at its relaxed geometry.

The calculation puts the total magnetic moment at 0.00 μB per cell. As for the uncorrected energy: -15.1 eV/cell. As for the energy of formation: 0 kJ/mol of formula units.

The space group is Pmm2 (No. 25) and the conventional cell measures 2.4403, 3.2138 and 5.0621 Å, with angles of 90.00, 90.00 and 90.00 degrees. The inequivalent atoms are Li at (0.0000, 0.0000, 0.0000), Be at (0.0000, 0.0000, 0.4957), Be at (0.5000, 0.5000, 0.7167) and Ni at (0.5000, 0.5000, 0.2863).

Record 9
The following is a DFT calculation (PBE-GGA) of crystalline SnHg6H2 at its relaxed geometry.

The calculation puts the total magnetic moment at 0.00 μB per cell. As for the uncorrected energy: -10.7 eV/cell.

The space group is P-1 (No. 2) and the conventional cell measures 6.2004, 6.2037 and 6.2644 Å, with angles of 67.95, 65.41 and 80.40 degrees. The inequivalent atoms are Sn at (0.0000, 0.0000, 0.0000), Hg at (0.1104, 0.2542, 0.4605), Hg at (0.2650, 0.5559, 0.9410), Hg at (0.4701, 0.8589, 0.2465) and H at (0.3787, 0.6911, 0.5787).

Record 10
The following is a DFT calculation (PBE-GGA) of crystalline LiLaFeH6 at its relaxed geometry.

The calculation puts the total magnetic moment at 0.50 μB per cell. As for the uncorrected energy: -38.6 eV/cell.

The space group is P-6m2 (No. 187) and the conventional cell measures 4.5513, 4.5513 and 4.3459 Å, with angles of 90.00, 90.00 and 120.00 degrees. The inequivalent atoms are Li at (0.0000, 0.0000, 0.0000), La at (0.3333, 0.6667, 0.5000), Fe at (0.6667, 0.3333, 0.0000) and H at (0.3708, 0.1854, 0.2474).

Record 11
The following is a DFT calculation (PBE-GGA) of crystalline YMnCl2 at its relaxed geometry.

The value obtained for the energy above the most stable polymorph in this dataset is 0.89 eV/f.u. As for the formation energy (no corrections): -0.733 eV per atom. The calculation puts the total magnetic moment at 4.75 μB per cell. As for the uncorrected energy: -22.3 eV/cell.

The space group is P4/mmm (No. 123) and the conventional cell measures 3.3026, 3.3026 and 10.3389 Å, with angles of 90.00, 90.00 and 90.00 degrees. The inequivalent atoms are Y at (0.0000, 0.0000, 0.0000), Mn at (0.0000, 0.0000, 0.5000) and Cl at (0.5000, 0.5000, 0.1554).

Record 12
The following is a DFT calculation (PBE-GGA) of crystalline Tb2EuCd at its relaxed geometry.

The value obtained for the energy above the most stable polymorph in this dataset is 0.18 eV/f.u. The calculation puts the total magnetic moment at 7.24 μB per cell. As for the uncorrected energy: -20.6 eV/cell. As for the energy of formation: -16 kJ/mol of formula units.

The space group is P4/mmm (No. 123) and the conventional cell measures 4.9732, 4.9732 and 4.8542 Å, with angles of 90.00, 90.00 and 90.00 degrees. The inequivalent atoms are Tb at (0.0000, 0.5000, 0.0000), Eu at (0.0000, 0.0000, 0.5000) and Cd at (0.5000, 0.5000, 0.5000).

Record 13
The following is a DFT calculation (PBE-GGA) of crystalline Cs2ZnGeS4 at its relaxed geometry.

As for the formation energy (no corrections): -0.947 eV per atom. The calculation puts the total magnetic moment at 0.00 μB per cell. As for the uncorrected energy: -253.5 eV/cell.

The space group is Fddd (No. 70, origin choice 2) and the conventional cell measures 6.0256, 14.1252 and 24.7410 Å, with angles of 90.00, 90.00 and 90.00 degrees. The inequivalent atoms are Cs at (0.1250, 0.1250, 0.3037), Zn at (0.1250, 0.1250, 0.6250), Ge at (0.1250, 0.1250, 0.1250) and S at (0.1067, 0.2871, 0.4251).